## YNb2MoP (PBE)

Data for YNb2MoP after structural relaxation.

ρ	6.5	g/cm³
E	-8.505	eV/atom
DOS at the Fermi energy	6.040	states/eV per cell
symmetry	No. 123

```
YNb2MoP
1.0
4.739 0.000 0.000
0.000 4.583 0.000
0.000 0.000 4.739
Nb Y Mo P
2 1 1 1
direct
0.500 0.000 0.000
0.000 0.000 0.500
0.500 0.500 0.500
0.000 0.500 0.000
0.000 0.000 0.000
```

***

## ZrNbMoP2 (PBE)

Data for ZrNbMoP2 after structural relaxation.

ρ	5.4	g/cm³
E	-7.422	eV/atom
DOS at the Fermi energy	4.945	states/eV per cell
symmetry	No. 123

```
ZrNbMoP2
1.0
4.584 0.000 0.000
0.000 5.002 0.000
0.000 0.000 4.584
Nb P Zr Mo
1 2 1 1
direct
0.000 0.500 0.000
0.500 0.000 0.000
0.000 0.000 0.500
0.500 0.500 0.500
0.000 0.000 0.000
```

***

## PaNb2Mo (PBE)

Data for PaNb2Mo after structural relaxation.

ρ	11.1	g/cm³
E	-10.037	eV/atom
DOS at the Fermi energy	4.148	states/eV per cell
symmetry	No. 123

```
PaNb2Mo
1.0
-2.149 -2.579 -0.102
2.537 -2.136 0.529
-0.950 0.528 6.694
Mo Pa Nb
1 1 2
direct
0.500 0.500 0.000
0.500 0.500 0.500
0.000 0.000 0.234
0.000 0.000 0.766
```

***

## PaNbMo2 (PBE)

Data for PaNbMo2 after structural relaxation.

ρ	11.5	g/cm³
E	-10.261	eV/atom
DOS at the Fermi energy	3.923	states/eV per cell
symmetry	No. 123

```
PaNbMo2
1.0
3.349 0.000 0.000
0.000 3.349 0.000
0.000 0.000 6.639
Pa Mo Nb
1 2 1
direct
0.500 0.500 0.500
0.000 0.000 0.756
0.000 0.000 0.244
0.500 0.500 0.000
```

***

## PaNb2Mo (PBE)

Data for PaNb2Mo after structural relaxation.

ρ	11.1	g/cm³
E	-9.954	eV/atom
DOS at the Fermi energy	4.929	states/eV per cell
symmetry	No. 123

```
PaNb2Mo
1.0
-0.672 2.433 -2.171
-4.680 -0.971 0.361
-0.370 3.125 3.616
Nb Pa Mo
2 1 1
direct
0.000 0.500 0.000
0.000 0.000 0.500
0.500 0.000 0.000
0.500 0.500 0.500
```

***

## PaNb2Mo (PBE)

Data for PaNb2Mo after structural relaxation.

ρ	11.3	g/cm³
E	-10.094	eV/atom
DOS at the Fermi energy	3.911	states/eV per cell
symmetry	No. 225

```
PaNb2Mo
1.0
-2.167 -3.899 1.610
2.467 -4.004 0.610
0.909 -1.582 4.378
Mo Nb Pa
1 2 1
direct
0.500 0.500 0.500
0.250 0.250 0.250
0.750 0.750 0.750
0.000 0.000 0.000
```

***

## PaNbMo4 (PBE)

Data for PaNbMo4 after structural relaxation.

ρ	10.5	g/cm³
E	-10.293	eV/atom
DOS at the Fermi energy	10.162	states/eV per cell
symmetry	No. 216

```
PaNbMo4
1.0
5.408 0.000 0.000
2.704 4.683 0.000
2.704 1.561 4.415
Nb Mo Pa
1 4 1
direct
0.250 0.250 0.250
0.625 0.125 0.625
0.125 0.625 0.625
0.625 0.625 0.625
0.625 0.625 0.125
0.000 0.000 0.000
```

***

## Pa2NbMo (PBE)

Data for Pa2NbMo after structural relaxation.

ρ	12.5	g/cm³
E	-9.730	eV/atom
DOS at the Fermi energy	7.198	states/eV per cell
symmetry	No. 123

```
Pa2NbMo
1.0
3.497 0.000 0.000
0.000 3.497 0.000
0.000 0.000 7.074
Nb Mo Pa
1 1 2
direct
0.500 0.500 0.500
0.500 0.500 0.000
0.000 0.000 0.243
0.000 0.000 0.757
```

***

## PaNb5Mo6 (PBE)

Data for PaNb5Mo6 after structural relaxation.

ρ	10.1	g/cm³
E	-10.503	eV/atom
DOS at the Fermi energy	9.629	states/eV per cell
symmetry	No. 71

```
PaNb5Mo6
1.0
4.440 0.018 -1.297
-0.893 5.716 -2.977
-0.083 0.441 7.983
Mo Nb Pa
6 5 1
direct
0.166 0.917 0.331
0.500 0.248 0.000
0.834 0.585 0.669
0.500 0.752 0.000
0.834 0.083 0.669
0.166 0.415 0.331
0.327 0.827 0.653
0.332 0.333 0.665
0.668 0.667 0.335
0.000 0.500 0.000
0.673 0.173 0.347
0.000 0.000 0.000
```

***

## Pa2NbMo (PBE)

Data for Pa2NbMo after structural relaxation.

ρ	12.5	g/cm³
E	-9.720	eV/atom
DOS at the Fermi energy	7.784	states/eV per cell
symmetry	No. 225

```
Pa2NbMo
1.0
-4.750 1.134 0.862
-2.268 -1.739 4.052
-1.181 3.086 3.697
Nb Mo Pa
1 1 2
direct
0.000 0.000 0.000
0.500 0.500 0.500
0.750 0.750 0.750
0.250 0.250 0.250
```

***

## Pa2NbMo (PBE)

Data for Pa2NbMo after structural relaxation.

ρ	12.6	g/cm³
E	-9.475	eV/atom
DOS at the Fermi energy	6.103	states/eV per cell
symmetry	No. 166

```
Pa2NbMo
1.0
-2.252 1.931 -0.874
-2.942 -0.632 0.712
-0.700 5.667 8.849
Nb Pa Mo
1 2 1
direct
0.000 0.000 0.000
0.092 0.092 0.725
0.908 0.908 0.275
0.500 0.500 0.500
```

***

## PaNbMo2 (PBE)

Data for PaNbMo2 after structural relaxation.

ρ	11.5	g/cm³
E	-10.330	eV/atom
DOS at the Fermi energy	4.015	states/eV per cell
symmetry	No. 225

```
PaNbMo2
1.0
4.716 0.000 0.000
2.358 4.084 0.000
2.358 1.361 3.851
Mo Pa Nb
2 1 1
direct
0.750 0.750 0.750
0.250 0.250 0.250
0.500 0.500 0.500
0.000 0.000 0.000
```

***

Ordered M_tot results: 0.0; 0.0; 0.0; 0.0; 0.0; 0.0; 0.0; 0.0; 0.0; 0.0; 0.0; 0.0; unit μB per formula unit.
Ordered energy relative to the elements results: 63; 632; 79; 46; 162; 23; 188; 244; -100; 253; 498; -23; unit meV per atom.